No. 1
This record from the Alexandria database describes an optimized crystal structure of K2NdZn2O4. The functional is PBE.

Cell lengths 14.584, 3.482, 6.652 Å; angles 90.00, 102.83, 90.00 degrees
Space group C2/m (No. 12)
Inequivalent atoms, fractional coordinates:
K 0.134 0.000 0.074
Nd 0.000 0.000 0.500
Zn 0.183 0.500 0.544
O 0.060 0.500 0.321
O 0.166 0.000 0.696

Calculated density, g cm⁻³: 4.2
Formation energy from raw total energies, meV/atom: -1679
V, Å³/atom: 18.30


No. 2
This record from the Alexandria database describes an optimized crystal structure of KNdZr2O6. The functional is PBE.

Cell lengths 8.353, 8.353, 8.353 Å; angles 90.00, 90.00, 90.00 degrees
Space group Fm-3m (No. 225)
Inequivalent atoms, fractional coordinates:
K 0.000 0.000 0.000
Nd 0.000 0.000 0.500
Zr 0.250 0.250 0.250
O 0.000 0.250 0.250

Calculated density, g cm⁻³: 5.3
Formation energy from raw total energies, meV/atom: -2947
V, Å³/atom: 14.57


- The highest V belongs to which entry?
  K2NdZn2O4